[1]
The following is a DFT calculation (GGA-PBE) of an optimized crystal structure of NaCeZnBi.

extended XYZ file:
```
16
Lattice="7.567 0.000 0.000 0.000 7.567 0.000 0.000 0.000 7.567" Properties=species:S:1:pos:R:3 pbc="T T T"
Na 0.000 0.000 0.000
Na 0.000 3.784 3.784
Na 3.784 0.000 3.784
Na 3.784 3.784 0.000
Ce 0.000 0.000 3.784
Ce 0.000 3.784 0.000
Ce 3.784 0.000 0.000
Ce 3.784 3.784 3.784
Zn 1.892 1.892 1.892
Zn 1.892 5.676 5.676
Zn 5.676 1.892 5.676
Zn 5.676 5.676 1.892
Bi 1.892 1.892 5.676
Bi 1.892 5.676 1.892
Bi 5.676 1.892 1.892
Bi 5.676 5.676 5.676
```

- ΔE_f (meV/atom) = -268
- magnetization (Bohr magnetons per cell) = 5.85

[2]
The following is a DFT calculation (GGA-PBE) of an optimized crystal structure of BeZn2Cl.

extended XYZ file:
```
4
Lattice="2.971 0.000 0.000 0.000 2.971 0.000 0.000 0.000 7.040" Properties=species:S:1:pos:R:3 pbc="T T T"
Be 0.000 0.000 0.000
Zn 1.485 1.485 1.474
Zn 1.485 1.485 5.565
Cl 0.000 0.000 3.520
```

- distance to the lowest polymorph of the same formula (eV per atom) = 0.224
- formation energy from raw total energies (meV/atom) = 132
- magnetization (Bohr magnetons per cell) = 0.00

[3]
The following is a DFT calculation (GGA-PBE) of an optimized crystal structure of Na2CdGa4Ge3.

extended XYZ file:
```
10
Lattice="4.531 0.000 0.000 0.000 4.531 0.000 0.000 0.000 10.781" Properties=species:S:1:pos:R:3 pbc="T T T"
Na 0.000 2.265 2.684
Na 2.265 0.000 8.097
Cd 2.265 2.265 0.000
Ga 0.000 0.000 5.391
Ga 0.000 2.265 9.265
Ga 2.265 0.000 1.517
Ga 2.265 2.265 5.391
Ge 0.000 0.000 0.000
Ge 0.000 2.265 6.772
Ge 2.265 0.000 4.010
```

- ΔE_f (meV/atom) = -74
- magnetization (Bohr magnetons per cell) = 0.00

no.,DFT total energy (eV for the cell shown),calculated density (g/cm³),calculated volume (Å³/cell)
1,-53.91,6.705,433
2,-7.59,4.685,62
3,-30.25,4.916,221